Pr2TmGa | the Alexandria database | PBE-GGA | optimized geometry; VASP energy = -4.5180 eV per atom; E above lowest polymorph = 0.000 eV per atom; formation enthalpy at 0 K = -0.25 eV per atom; M_tot = 0.0 Bohr magnetons per cell; N(E_F) = 1.21 states/eV/atom
1.0
3.708 0.000 0.000
-1.854 6.461 0.000
0.000 0.000 9.988
Pr Tm Ga
4 2 2
Cartesian
1.855 1.732 0.515
1.855 1.732 4.479
-0.001 4.729 9.473
-0.001 4.729 5.508
0.002 0.758 7.491
1.852 5.703 2.497
1.858 3.081 7.491
-0.003 3.379 2.497

ThCo3As3 | the Alexandria database | PBE-GGA | optimized geometry; VASP energy = -6.3817 eV per atom; formation enthalpy at 0 K = -0.28 eV per atom; M_tot = 0.0 Bohr magnetons per cell; N(E_F) = 1.09 states/eV/atom
1.0
6.331 0.000 0.000
0.000 6.331 0.000
0.000 0.000 6.331
As Th Co
6 2 6
Cartesian
1.583 3.166 0.000
0.000 1.583 3.166
3.166 0.000 4.748
0.000 4.748 3.166
4.748 3.166 0.000
3.166 0.000 1.583
3.166 3.166 3.166
0.000 0.000 0.000
0.000 3.166 4.748
4.748 0.000 3.166
1.583 0.000 3.166
3.166 4.748 0.000
0.000 3.166 1.583
3.166 1.583 0.000

PmNd3Ho5 | the Alexandria database | PBE-GGA | optimized geometry; VASP energy = -4.3491 eV per atom; E above lowest polymorph = 0.000 eV per atom; formation enthalpy at 0 K = 0.31 eV per atom; M_tot = 0.0 Bohr magnetons per cell; N(E_F) = 1.39 states/eV/atom
1.0
6.122 0.000 0.000
-3.061 9.625 -4.306
0.000 -2.135 11.296
Pm Ho Nd
2 10 6
Cartesian
0.513 -0.534 2.824
5.609 -1.601 8.472
1.277 3.381 -1.304
3.492 -0.534 2.824
1.158 6.127 0.969
4.219 2.430 0.374
4.845 2.313 4.345
2.630 -1.601 8.472
-1.158 5.059 6.617
1.784 4.109 8.294
1.903 1.362 6.022
-1.784 5.176 2.646
0.000 -1.068 5.648
-1.693 5.752 -0.833
1.368 2.805 2.175
1.693 4.685 4.815
4.754 1.737 7.823
0.000 0.000 0.000

AsPtSe2N | the Alexandria database | PBE-GGA | optimized geometry; VASP energy = -4.5166 eV per atom; E above lowest polymorph = 0.000 eV per atom; M_tot = 0.0 Bohr magnetons per cell; N(E_F) = 0.83 states/eV/atom
1.0
5.192 0.000 0.000
0.000 5.192 0.000
0.000 0.000 3.686
As N Se Pt
1 1 2 1
Cartesian
2.596 2.596 1.843
0.000 0.000 1.843
0.000 2.596 0.000
2.596 0.000 0.000
0.000 0.000 0.000

TbSc4PbS8 | the Alexandria database | PBE-GGA | optimized geometry; VASP energy = -6.4108 eV per atom; M_tot = 0.0 Bohr magnetons per cell; N(E_F) = 0.44 states/eV/atom
1.0
7.734 0.000 0.000
3.867 6.697 0.000
3.867 2.232 6.577
S Sc Tb Pb
8 4 1 1
Cartesian
9.855 3.240 4.724
3.867 2.232 2.049
9.734 5.620 1.741
11.600 6.697 4.786
5.612 3.240 4.724
7.734 2.155 1.741
7.734 6.915 4.724
5.733 5.620 1.741
7.734 4.465 0.779
1.942 1.121 3.301
5.791 1.121 3.301
3.867 4.454 3.301
3.867 2.232 6.551
7.734 4.465 5.867

LiLuInBi | the Alexandria database | PBE-GGA | optimized geometry; VASP energy = -3.5697 eV per atom; formation enthalpy at 0 K = -0.31 eV per atom; M_tot = 0.0 Bohr magnetons per cell; N(E_F) = 0.79 states/eV/atom
1.0
5.255 0.000 0.000
2.627 4.551 0.000
2.627 1.517 4.291
In Li Bi Lu
1 1 1 1
Cartesian
5.255 3.034 2.145
7.882 4.551 3.218
0.000 0.000 0.000
2.627 1.517 1.073

TlAg | the Alexandria database | PBE-GGA | optimized geometry; VASP energy = -2.4638 eV per atom; formation enthalpy at 0 K = 0.14 eV per atom; M_tot = 0.0 Bohr magnetons per cell; N(E_F) = 0.24 states/eV/atom
1.0
-0.298 -0.305 -5.731
-3.690 -2.844 -3.364
-4.008 1.993 -3.604
Tl Ag
2 2
Cartesian
-7.136 -1.032 -11.332
-0.861 -0.124 -1.367
-2.534 -0.366 -4.024
-5.463 -0.790 -8.675

BaCa2Er | the Alexandria database | PBE-GGA | optimized geometry; VASP energy = -2.4342 eV per atom; E above lowest polymorph = 0.061 eV per atom; formation enthalpy at 0 K = 0.19 eV per atom; M_tot = 0.0 Bohr magnetons per cell; N(E_F) = 1.32 states/eV/atom
1.0
4.315 0.000 0.000
0.000 6.201 0.000
0.000 0.000 6.201
Ca Er Ba
2 1 1
Cartesian
0.000 3.101 0.000
0.000 0.000 3.101
2.158 3.101 3.101
2.158 0.000 0.000

Ba2HgH6Os | the Alexandria database | PBE-GGA | optimized geometry; VASP energy = -3.9341 eV per atom; M_tot = 0.0 Bohr magnetons per cell; N(E_F) = 0.06 states/eV/atom
1.0
-5.512 -4.922 -2.417
-0.463 -1.903 4.932
-2.985 4.104 -1.552
H Ba Hg Os
6 2 1 1
Cartesian
-1.547 -1.580 3.617
-7.659 -2.151 -0.033
-7.413 -1.140 -2.654
-3.133 0.601 2.792
-1.300 -0.569 0.996
-5.827 -3.321 -1.829
-5.832 -3.944 0.785
-3.128 1.224 0.178
-2.756 -2.461 -1.209
0.000 0.000 0.000

TlPtW2 | the Alexandria database | PBE-GGA | optimized geometry; VASP energy = -8.1956 eV per atom; E above lowest polymorph = 0.000 eV per atom; formation enthalpy at 0 K = 0.38 eV per atom; M_tot = 0.0 Bohr magnetons per cell; N(E_F) = 0.73 states/eV/atom
1.0
-1.696 2.238 -0.603
-1.349 -2.411 -0.786
-3.778 -0.610 8.358
Pt W Tl
1 2 1
Cartesian
-1.807 -0.292 3.996
-2.469 -0.239 1.399
-0.092 -0.015 0.203
-4.344 -0.542 5.548

Th2PaOsC4 | the Alexandria database | PBE-GGA | optimized geometry; VASP energy = -9.0600 eV per atom; formation enthalpy at 0 K = 0.00 eV per atom; M_tot = 0.0 Bohr magnetons per cell; N(E_F) = 0.89 states/eV/atom
1.0
-1.885 -0.945 2.882
5.556 -2.745 0.521
4.346 9.954 6.106
Th C Pa Os
4 8 2 2
Cartesian
0.506 -0.902 2.248
5.727 3.080 4.755
7.510 7.165 7.261
2.290 3.184 4.754
3.184 -0.360 1.964
2.173 4.977 3.053
4.832 6.624 7.545
4.112 1.764 3.267
3.905 4.500 6.242
0.000 0.000 0.000
7.334 4.624 6.312
0.683 1.640 3.197
4.247 6.776 5.000
3.769 -0.512 4.509
5.545 4.742 7.393
2.472 1.522 2.116

CeGdSi4 | the Alexandria database | PBE-GGA | optimized geometry; VASP energy = -7.3351 eV per atom; M_tot = 7.2 Bohr magnetons per cell; N(E_F) = 0.91 states/eV/atom
1.0
5.350 0.000 0.000
2.675 4.633 0.000
2.675 1.544 4.368
Si Gd Ce
4 1 1
Cartesian
5.350 1.526 2.737
6.703 3.870 2.737
3.996 3.870 2.737
5.350 3.089 0.526
0.000 0.000 0.000
2.675 1.544 1.092

LaMn2Ag | the Alexandria database | PBE-GGA | optimized geometry; VASP energy = -6.2124 eV per atom; formation enthalpy at 0 K = 0.32 eV per atom; M_tot = 0.0 Bohr magnetons per cell; N(E_F) = 0.62 states/eV/atom
1.0
4.921 -0.531 0.000
0.537 4.921 0.000
-2.729 -2.195 3.498
Mn Ag La
2 1 1
Cartesian
0.268 2.460 1.749
0.000 0.000 0.000
2.729 2.195 0.000
2.461 -0.265 1.749

ErGaAu2 | the Alexandria database | PBE-GGA | optimized geometry; VASP energy = -4.1118 eV per atom; formation enthalpy at 0 K = -0.58 eV per atom; M_tot = 0.0 Bohr magnetons per cell; N(E_F) = 0.62 states/eV/atom
1.0
3.617 0.000 0.000
0.000 3.617 0.000
0.000 0.000 6.269
Au Ga Er
2 1 1
Cartesian
0.000 0.000 1.538
0.000 0.000 4.731
1.808 1.808 0.000
1.808 1.808 3.135

Rb4La3GeO8 | the Alexandria database | PBE-GGA | optimized geometry; VASP energy = -6.1156 eV per atom; M_tot = 0.0 Bohr magnetons per cell; N(E_F) = 0.15 states/eV/atom
1.0
7.299 0.000 0.000
0.000 7.807 0.342
-3.650 -3.641 5.169
La Ge O Rb
3 1 8 4
Cartesian
-1.825 2.083 2.756
1.825 2.083 2.756
3.650 3.904 0.171
0.000 3.904 0.171
3.650 0.446 3.043
1.714 2.375 0.306
5.585 2.375 0.306
0.000 3.721 2.469
3.650 3.668 2.582
0.000 0.499 2.929
1.935 1.791 5.206
-1.935 1.791 5.206
3.650 0.000 0.000
0.000 0.000 0.000
1.825 -1.820 2.584
-1.825 -1.820 2.584

VGaNi4 | the Alexandria database | PBE-GGA | optimized geometry; VASP energy = -5.9691 eV per atom; formation enthalpy at 0 K = -0.09 eV per atom; M_tot = 0.0 Bohr magnetons per cell; N(E_F) = 0.90 states/eV/atom
1.0
-1.018 -2.086 -1.066
1.910 -3.378 1.726
-5.285 -1.364 4.659
Ga Ni V
1 4 1
Cartesian
0.000 0.000 0.000
-0.824 -5.515 2.399
-0.480 -3.392 0.975
-3.569 -1.313 2.920
-3.913 -3.437 4.343
-2.196 -3.414 2.659

CaPmO | the Alexandria database | PBE-GGA | optimized geometry; VASP energy = -5.6367 eV per atom; E above lowest polymorph = 0.000 eV per atom; M_tot = 0.0 Bohr magnetons per cell; N(E_F) = 0.83 states/eV/atom
1.0
-2.640 2.069 -3.542
2.439 -2.645 -3.363
-7.504 -8.051 0.891
Ca Pm O
4 4 4
Cartesian
-4.285 -6.003 -1.992
-7.072 -6.362 -0.125
-3.420 -2.625 -4.022
-0.634 -2.266 -5.889
-6.560 -3.363 -2.113
-1.145 -5.265 -3.901
-7.436 -6.934 -3.546
-0.269 -1.694 -2.468
-5.348 -4.513 -0.329
-2.357 -4.115 -5.684
-6.009 -7.853 -1.787
-1.697 -0.775 -4.226

La2IrCl | the Alexandria database | PBE-GGA | optimized geometry; VASP energy = -6.4694 eV per atom; E above lowest polymorph = 0.008 eV per atom; M_tot = 0.0 Bohr magnetons per cell; N(E_F) = 0.37 states/eV/atom
1.0
-3.122 -1.653 -2.225
3.954 -1.017 -0.875
-0.837 -11.812 9.949
La Ir Cl
4 2 2
Cartesian
-1.266 -8.537 4.202
1.261 -5.945 2.647
1.511 -2.419 -0.322
-1.516 -12.063 7.172
0.000 0.000 0.000
-0.418 -5.906 4.975
-0.972 -4.394 0.712
0.968 -10.088 6.137

Pr4AsAuS2 | the Alexandria database | PBE-GGA | optimized geometry; VASP energy = -5.9586 eV per atom; M_tot = 0.0 Bohr magnetons per cell; N(E_F) = 0.46 states/eV/atom
1.0
4.191 0.000 0.000
0.000 7.362 -0.192
0.000 2.546 6.837
S Pr As Au
2 4 1 1
Cartesian
2.095 1.273 3.419
0.000 2.546 6.837
2.095 6.240 1.593
4.191 2.390 1.741
2.095 3.668 5.052
0.000 7.518 4.904
0.000 4.954 3.322
2.095 3.681 -0.096

CeDy5Al6 | the Alexandria database | PBE-GGA | optimized geometry; VASP energy = -4.6562 eV per atom; formation enthalpy at 0 K = -0.37 eV per atom; M_tot = 0.9 Bohr magnetons per cell; N(E_F) = 0.70 states/eV/atom
1.0
-2.048 2.705 -3.818
-5.633 1.661 4.199
-0.152 8.444 2.663
Dy Al Ce
5 6 1
Cartesian
-2.377 7.757 -0.051
-5.234 8.517 2.021
-5.456 5.054 3.094
-2.599 4.294 1.022
-2.816 0.830 2.099
-4.990 6.065 0.142
-5.333 11.023 3.852
-2.241 5.254 -1.908
-5.592 7.556 4.951
-2.842 6.746 2.901
-2.500 1.788 -0.809
0.000 0.000 0.000